Entry 1:
PWI2 | PBE | optimized geometry

- Energy above the most stable polymorph in this dataset: 0.0 kJ/mol of atoms

The structure in POSCAR format:
```
PWI2
1.0
-5.150 5.150 2.323
5.150 -5.150 2.323
5.150 5.150 -2.323
P W I
2 2 4
direct
0.000 0.000 0.000
0.750 0.250 0.500
0.250 0.750 0.500
0.500 0.500 0.000
0.274 0.625 0.149
0.375 0.524 0.649
0.476 0.125 0.851
0.875 0.726 0.351
```

---

Entry 2:
La2Tb4Pr | PBE | optimized geometry

- Formation enthalpy at 0 K: 0.228 eV per atom
- Energy above the most stable polymorph in this dataset: 1.8 kJ/mol of atoms

The structure in POSCAR format:
```
La2Tb4Pr
1.0
-2.322 2.322 11.445
2.322 -2.322 11.445
2.322 2.322 -11.445
La Tb Pr
2 4 1
direct
0.099 0.099 0.000
0.901 0.901 0.000
0.250 0.750 0.500
0.360 0.360 0.000
0.640 0.640 0.000
0.750 0.250 0.500
0.500 0.500 0.000
```

---

Entry 3:
Sm8CdHg2 | PBE | optimized geometry

- Formation enthalpy at 0 K: -0.188 eV per atom
- Energy above the most stable polymorph in this dataset: 2.6 kJ/mol of atoms

The structure in POSCAR format:
```
Sm8CdHg2
1.0
9.232 -2.640 0.000
9.232 2.640 0.000
-2.104 0.000 6.971
Sm Cd Hg
8 1 2
direct
0.025 0.025 0.262
0.194 0.194 0.805
0.333 0.333 0.534
0.410 0.410 0.037
0.590 0.590 0.963
0.667 0.667 0.466
0.806 0.806 0.195
0.975 0.975 0.738
0.500 0.500 0.500
0.186 0.186 0.214
0.814 0.814 0.786
```

---

Entry 4:
Tb8Y2Sc3 | PBE | optimized geometry

- Formation enthalpy at 0 K: 0.195 eV per atom
- Energy above the most stable polymorph in this dataset: 0.0 kJ/mol of atoms

The structure in POSCAR format:
```
Tb8Y2Sc3
1.0
6.582 -5.616 0.000
6.582 5.616 0.000
-2.356 0.000 5.425
Tb Y Sc
8 2 3
direct
0.086 0.086 0.264
0.112 0.580 0.854
0.364 0.364 0.385
0.420 0.888 0.146
0.580 0.112 0.854
0.636 0.636 0.615
0.888 0.420 0.146
0.914 0.914 0.736
0.182 0.182 0.831
0.818 0.818 0.169
0.233 0.767 0.500
0.500 0.500 0.000
0.767 0.233 0.500
```

---

Entry 5:
K3Zn2Br2F5 | PBE | optimized geometry

The structure in POSCAR format:
```
K3Zn2Br2F5
1.0
-2.169 2.169 12.049
2.169 -2.169 12.049
2.169 2.169 -12.049
K Zn Br F
3 2 2 5
direct
0.000 0.000 0.000
0.157 0.157 0.000
0.843 0.843 0.000
0.416 0.416 0.000
0.584 0.584 0.000
0.311 0.311 0.000
0.689 0.689 0.000
0.081 0.581 0.500
0.419 0.919 0.500
0.500 0.500 0.000
0.581 0.081 0.500
0.919 0.419 0.500
```

---

Entry 6:
RbPa4Se12 | PBE | optimized geometry

The structure in POSCAR format:
```
RbPa4Se12
1.0
-5.488 5.488 5.488
5.488 -5.488 5.488
5.488 5.488 -5.488
Rb Pa Se
1 4 12
direct
0.000 0.000 0.000
0.000 0.000 0.500
0.000 0.500 0.000
0.500 0.000 0.000
0.500 0.500 0.500
0.004 0.753 0.251
0.247 0.251 0.499
0.247 0.749 0.996
0.251 0.004 0.753
0.251 0.499 0.247
0.499 0.247 0.251
0.501 0.753 0.749
0.749 0.501 0.753
0.749 0.996 0.247
0.753 0.251 0.004
0.753 0.749 0.501
0.996 0.247 0.749
```

---

Entry 7:
Ce5CoSn4 | PBE | optimized geometry

- Formation enthalpy at 0 K: -0.327 eV per atom

The structure in POSCAR format:
```
Ce5CoSn4
1.0
-4.822 4.822 3.075
4.822 -4.822 3.075
4.822 4.822 -3.075
Ce Co Sn
5 1 4
direct
0.000 0.000 0.000
0.264 0.616 0.880
0.384 0.264 0.648
0.616 0.736 0.352
0.736 0.384 0.120
0.500 0.500 0.000
0.060 0.340 0.400
0.340 0.940 0.281
0.660 0.060 0.719
0.940 0.660 0.600
```

---

Entry 8:
MgP | PBE | optimized geometry

- Formation enthalpy at 0 K: -0.363 eV per atom
- Energy above the most stable polymorph in this dataset: 15.1 kJ/mol of atoms

The structure in POSCAR format:
```
MgP
1.0
3.146 -2.372 0.000
3.146 2.372 0.000
-2.584 0.000 5.245
Mg P
2 2
direct
0.000 0.000 0.000
0.612 0.388 0.500
0.283 0.061 0.689
0.939 0.717 0.311
```

---

Entry 9:
Pa2MnTeS4 | PBE | optimized geometry

The structure in POSCAR format:
```
Pa2MnTeS4
1.0
5.838 -1.922 0.000
5.838 1.922 0.000
-3.927 0.000 8.433
Pa Mn Te S
2 1 1 4
direct
0.184 0.184 0.266
0.816 0.816 0.734
0.000 0.000 0.500
0.500 0.500 0.000
0.168 0.168 0.769
0.382 0.382 0.569
0.618 0.618 0.431
0.832 0.832 0.231
```

---

Entry 10:
TbScGeRh | PBE | optimized geometry

- Formation enthalpy at 0 K: -0.736 eV per atom

The structure in POSCAR format:
```
TbScGeRh
1.0
0.000 3.411 3.411
3.411 0.000 3.411
3.411 3.411 0.000
Tb Sc Ge Rh
1 1 1 1
direct
0.000 0.000 0.000
0.500 0.500 0.500
0.250 0.250 0.250
0.750 0.750 0.750
```

---

Entry 11:
HgSb2Br | PBE | optimized geometry

- Energy above the most stable polymorph in this dataset: 23.6 kJ/mol of atoms

The structure in POSCAR format:
```
HgSb2Br
1.0
1.815 -2.956 0.000
1.815 2.956 0.000
0.000 0.000 9.994
Hg Sb Br
1 2 1
direct
0.000 0.000 0.000
0.500 0.500 0.248
0.500 0.500 0.752
0.000 0.000 0.500
```

---

Entry 12:
LaMoRh3 | PBE | optimized geometry

- Formation enthalpy at 0 K: 0.169 eV per atom
- Energy above the most stable polymorph in this dataset: 0.0 kJ/mol of atoms

The structure in POSCAR format:
```
LaMoRh3
1.0
4.762 0.000 0.000
0.000 4.762 0.000
0.000 0.000 4.762
La Mo Rh
1 1 3
direct
0.000 0.000 0.000
0.500 0.500 0.500
0.000 0.500 0.500
0.500 0.000 0.500
0.500 0.500 0.000
```

---

Entry 13:
NbReNi2H | PBE | optimized geometry

- Energy above the most stable polymorph in this dataset: 3.5 kJ/mol of atoms

The structure in POSCAR format:
```
NbReNi2H
1.0
3.720 0.000 0.000
0.000 3.720 0.000
0.000 0.000 4.104
Nb Re Ni H
1 1 2 1
direct
0.000 0.000 0.000
0.500 0.500 0.000
0.000 0.500 0.500
0.500 0.000 0.500
0.000 0.000 0.500
```

---

Entry 14:
TlNiSb2I | PBE | optimized geometry

- Energy above the most stable polymorph in this dataset: 112.7 kJ/mol of atoms

The structure in POSCAR format:
```
TlNiSb2I
1.0
5.699 0.000 0.000
0.000 5.699 0.000
0.000 0.000 6.150
Tl Ni Sb I
1 1 2 1
direct
0.000 0.000 0.000
0.500 0.500 0.500
0.000 0.500 0.000
0.500 0.000 0.000
0.000 0.000 0.500
```

---

Entry 15:
LiScAu | PBE | optimized geometry

- Formation enthalpy at 0 K: -0.347 eV per atom
- Energy above the most stable polymorph in this dataset: 17.7 kJ/mol of atoms

The structure in POSCAR format:
```
LiScAu
1.0
4.370 0.000 0.000
0.000 4.370 0.000
0.000 0.000 6.957
Li Sc Au
2 2 2
direct
0.250 0.250 0.131
0.750 0.750 0.869
0.250 0.750 0.500
0.750 0.250 0.500
0.250 0.250 0.748
0.750 0.750 0.252
```

---

Entry 16:
BaHgBi | PBE | optimized geometry

- Formation enthalpy at 0 K: -0.473 eV per atom
- Energy above the most stable polymorph in this dataset: 11.1 kJ/mol of atoms

The structure in POSCAR format:
```
BaHgBi
1.0
-2.810 2.833 4.006
2.810 -2.833 4.006
2.810 2.833 -4.006
Ba Hg Bi
1 1 1
direct
0.000 0.000 0.000
0.502 0.502 0.000
0.252 0.752 0.500
```

---

Entry 17:
MgP2RuO8 | PBE | optimized geometry

The structure in POSCAR format:
```
MgP2RuO8
1.0
-3.266 3.266 2.964
3.266 -3.266 2.964
3.266 3.266 -2.964
Mg P Ru O
1 2 1 8
direct
0.000 0.000 0.000
0.500 0.500 0.000
0.750 0.250 0.500
0.250 0.750 0.500
0.330 0.148 0.818
0.330 0.512 0.182
0.400 0.084 0.316
0.488 0.670 0.818
0.768 0.084 0.684
0.852 0.670 0.182
0.916 0.232 0.316
0.916 0.600 0.684
```

---

Entry 18:
CeSmPCl | PBE | optimized geometry

The structure in POSCAR format:
```
CeSmPCl
1.0
1.988 1.148 7.310
-1.988 1.148 7.310
0.000 -2.296 7.310
Ce Sm P Cl
1 1 1 1
direct
0.000 0.000 0.000
0.190 0.190 0.190
0.594 0.594 0.594
0.428 0.428 0.428
```

---

Entry 19:
TiTc2Ni2 | PBE | optimized geometry

- Formation enthalpy at 0 K: 0.087 eV per atom
- Energy above the most stable polymorph in this dataset: 6.8 kJ/mol of atoms

The structure in POSCAR format:
```
TiTc2Ni2
1.0
-1.750 1.750 5.913
1.750 -1.750 5.913
1.750 1.750 -5.913
Ti Tc Ni
1 2 2
direct
0.000 0.000 0.000
0.250 0.750 0.500
0.750 0.250 0.500
0.407 0.407 0.000
0.593 0.593 0.000
```

---

Entry 20:
CaHfNiIr | PBE | optimized geometry

- Formation enthalpy at 0 K: -0.387 eV per atom

The structure in POSCAR format:
```
CaHfNiIr
1.0
0.000 3.293 3.293
3.293 0.000 3.293
3.293 3.293 0.000
Ca Hf Ni Ir
1 1 1 1
direct
0.000 0.000 0.000
0.500 0.500 0.500
0.250 0.250 0.250
0.750 0.750 0.750
```

---

Entry 21:
SnWI2 | PBE | optimized geometry

- Energy above the most stable polymorph in this dataset: 0.0 kJ/mol of atoms

The structure in POSCAR format:
```
SnWI2
1.0
-4.925 4.925 2.713
4.925 -4.925 2.713
4.925 4.925 -2.713
Sn W I
2 2 4
direct
0.000 0.000 0.000
0.750 0.250 0.500
0.250 0.750 0.500
0.500 0.500 0.000
0.263 0.625 0.138
0.375 0.513 0.638
0.487 0.125 0.862
0.875 0.737 0.362
```

---

Entry 22:
NaSc2C | PBE | optimized geometry

- Formation enthalpy at 0 K: -0.213 eV per atom

The structure in POSCAR format:
```
NaSc2C
1.0
1.668 0.963 9.264
-1.668 0.963 9.264
0.000 -1.925 9.264
Na Sc C
1 2 1
direct
0.000 0.000 0.000
0.123 0.123 0.123
0.877 0.877 0.877
0.500 0.500 0.500
```

---

Entry 23:
PaAlCd2 | PBE | optimized geometry

- Formation enthalpy at 0 K: 0.300 eV per atom

The structure in POSCAR format:
```
PaAlCd2
1.0
1.528 0.882 11.416
-1.528 0.882 11.416
0.000 -1.764 11.416
Pa Al Cd
1 1 2
direct
0.000 0.000 0.000
0.500 0.500 0.500
0.095 0.095 0.095
0.905 0.905 0.905
```

---

Entry 24:
AcH8Rh4Au | PBE | optimized geometry

The structure in POSCAR format:
```
AcH8Rh4Au
1.0
2.854 1.648 4.964
-2.854 1.648 4.964
0.000 -3.296 4.964
Ac H Rh Au
1 8 4 1
direct
0.000 0.000 0.000
0.305 0.305 0.906
0.305 0.906 0.305
0.383 0.383 0.383
0.501 0.860 0.860
0.842 0.842 0.842
0.860 0.501 0.860
0.860 0.860 0.501
0.906 0.305 0.305
0.140 0.628 0.628
0.252 0.252 0.252
0.628 0.140 0.628
0.628 0.628 0.140
0.622 0.622 0.622
```

---

Entry 25:
CaOsSe2 | PBE | optimized geometry

- Energy above the most stable polymorph in this dataset: 0.0 kJ/mol of atoms

The structure in POSCAR format:
```
CaOsSe2
1.0
2.013 1.162 5.756
-2.013 1.162 5.756
0.000 -2.324 5.756
Ca Os Se
1 1 2
direct
0.000 0.000 0.000
0.500 0.500 0.500
0.231 0.231 0.231
0.769 0.769 0.769
```

---

Number 1: calculated total energy -39.56 eV/cell. Number 2: calculated total energy -31.56 eV/cell. Number 3: calculated total energy -41.34 eV/cell. Number 4: calculated total energy -66.43 eV/cell. Number 5: calculated total energy -45.04 eV/cell. Number 6: calculated total energy -98.59 eV/cell. Number 7: calculated total energy -56.06 eV/cell. Number 8: calculated total energy -15.46 eV/cell. Number 9: calculated total energy -57.32 eV/cell. Number 10: calculated total energy -25.87 eV/cell. Number 11: calculated total energy -9.72 eV/cell. Number 12: calculated total energy -36.97 eV/cell. Number 13: calculated total energy -37.58 eV/cell. Number 14: calculated total energy -11.40 eV/cell. Number 15: calculated total energy -25.13 eV/cell. Number 16: calculated total energy -7.52 eV/cell. Number 17: calculated total energy -82.38 eV/cell. Number 18: calculated total energy -24.00 eV/cell. Number 19: calculated total energy -39.75 eV/cell. Number 20: calculated total energy -28.15 eV/cell. Number 21: calculated total energy -35.02 eV/cell. Number 22: calculated total energy -24.06 eV/cell. Number 23: calculated total energy -13.87 eV/cell. Number 24: calculated total energy -65.87 eV/cell. Number 25: calculated total energy -22.75 eV/cell.